Entry 1:
# Ho2Se2Br PBE relaxed
data_Ho2Se2Br
_cell_length_a 12.8086
_cell_length_b 5.6519
_cell_length_c 8.2050
_cell_angle_alpha 90.00
_cell_angle_beta 109.14
_cell_angle_gamma 90.00
_symmetry_space_group_name_H-M 'C 1 2/m 1'
_symmetry_Int_Tables_number 12
loop_
_symmetry_equiv_pos_as_xyz
'x,y,z'
'-x,-y,-z'
'-x,y,-z'
'x,-y,z'
'x+1/2,y+1/2,z'
'-x+1/2,-y+1/2,-z'
'-x+1/2,y+1/2,-z'
'x+1/2,-y+1/2,z'
loop_
_atom_site_label
_atom_site_type_symbol
_atom_site_fract_x
_atom_site_fract_y
_atom_site_fract_z
Ho1 Ho 0.0013 0.0000 0.2376
Ho2 Ho 0.1600 0.5000 0.0742
Se1 Se 0.0046 0.5000 0.2541
Se2 Se 0.1721 0.0000 0.0905
Br1 Br 0.1614 0.0000 0.5882
# - Total magnetization: 0.0 μB per formula unit
# - Final energy: -107.2 eV per cell

***

Entry 2:
# Ho2SeBr PBE relaxed
data_Ho2SeBr
_cell_length_a 3.8731
_cell_length_b 3.8731
_cell_length_c 23.4322
_cell_angle_alpha 90.00
_cell_angle_beta 90.00
_cell_angle_gamma 120.00
_symmetry_space_group_name_H-M 'R -3 m'
_symmetry_Int_Tables_number 166
_symmetry_space_group_name_Hall '-R 3 2"'
loop_
_atom_site_label
_atom_site_type_symbol
_atom_site_fract_x
_atom_site_fract_y
_atom_site_fract_z
Ho1 Ho 0.0000 0.0000 0.2360
Se1 Se 0.0000 0.0000 0.5000
Br1 Br 0.0000 0.0000 0.0000
# - Total magnetization: 0.0 μB per formula unit
# - Final energy: -58.1 eV per cell
# - Polymorph energy (0 for the lowest one): 0.018 eV/atom